1.
## PmSm3 (GGA-PBEsol)

Data for a relaxed structure of PmSm3.

abc: 7.1487 7.1487 5.7527
angles: 90.00 90.00 120.00
With the nearest neighbours (Å) after each atom.
Space group P6_3/mmc (No. 194)
Inequivalent atoms, fractional coordinates:
Pm 0.3333 0.6667 0.2500 x2  12 Sm 3.54-3.57
Sm 0.1667 0.3333 0.7500 x6  4 Pm 3.54-3.57, 8 Sm 3.54-3.57

## Properties
electronic total energy	-20.3	eV per formula unit
formation energy	26	meV per atom
calculated density	7.78	g/cm3
magnetization	0.00	Bohr magnetons per cell


2.
## PmSmTl2 (GGA-PBEsol)

Data for a relaxed structure of PmSmTl2.

abc: 7.5975 7.5975 7.5975
angles: 90.00 90.00 90.00
With the nearest neighbours (Å) after each atom.
Space group Fm-3m (No. 225)
Inequivalent atoms, fractional coordinates:
Pm 0.0000 0.0000 0.0000 x4  8 Tl 3.29
Sm 0.0000 0.0000 0.5000 x4  8 Tl 3.29
Tl 0.2500 0.2500 0.2500 x8  4 Pm 3.29, 4 Sm 3.29

## Properties
electronic total energy	-17.3	eV per formula unit
formation energy	-453	meV per atom
calculated density	10.66	g/cm3
magnetization	0.00	Bohr magnetons per cell


3.
## Pm2TlSn (GGA-PBEsol)

Data for a relaxed structure of Pm2TlSn.

abc: 7.6023 7.6023 7.6023
angles: 90.00 90.00 90.00
With the nearest neighbours (Å) after each atom.
Space group Fm-3m (No. 225)
Inequivalent atoms, fractional coordinates:
Pm 0.2500 0.2500 0.2500 x8  4 Tl 3.29, 4 Sn 3.29
Tl 0.0000 0.0000 0.0000 x4  8 Pm 3.29
Sn 0.0000 0.0000 0.5000 x4  8 Pm 3.29

## Properties
electronic total energy	-19.4	eV per formula unit
formation energy	-562	meV per atom
calculated density	9.27	g/cm3
magnetization	0.00	Bohr magnetons per cell


4.
## Tb3Pm (GGA-PBEsol)

Data for a relaxed structure of Tb3Pm.

abc: 4.9561 4.9561 9.9151
angles: 90.00 90.00 90.00
With the nearest neighbours (Å) after each atom.
Space group I4/mmm (No. 139)
Inequivalent atoms, fractional coordinates:
Tb 0.0000 0.0000 0.0000 x2  4 Pm 3.50, 8 Tb 3.50
Tb 0.0000 0.5000 0.2500 x4  8 Tb 3.50, 4 Pm 3.50
Pm 0.0000 0.0000 0.5000 x2  12 Tb 3.50

## Properties
electronic total energy	-20.1	eV per formula unit
formation energy	11	meV per atom
calculated density	8.48	g/cm3
magnetization	0.00	Bohr magnetons per cell